Record 1
Crystalline Sr2NiAs3Pd4 at its relaxed geometry, computed with PBE-GGA.

Output
formation enthalpy at 0 K: -0.651 eV/atom
total energy: -50.4 eV/f.u.
magnetic moment: 0.4 μB/cell

Lattice parameters (Å, degrees): 4.412 4.412 10.152 90.00 90.00 90.00
Space group P-4m2 (No. 115)
Asymmetric unit:
Sr (0.000, 0.500, 0.243) x2
Ni (0.500, 0.500, 0.000) x1
As (0.000, 0.000, 0.000) x1
As (0.000, 0.500, 0.631) x2
Pd (0.000, 0.000, 0.500) x1
Pd (0.000, 0.500, 0.878) x2
Pd (0.500, 0.500, 0.500) x1



Record 2
Crystalline RbPa3H4O12 at its relaxed geometry, computed with PBE-GGA.

Output
total energy: -141.2 eV/f.u.
magnetic moment: 5.1 μB/cell

Lattice parameters (Å, degrees): 10.4664 10.4664 8.8264 90.00 90.00 120.00
Space group R32 (No. 155, hexagonal axes)
Asymmetric unit:
Rb (0.0000, 0.0000, 0.0000) x3
Pa (0.0000, 0.5479, 0.0000) x9
H (0.0000, 0.0000, 0.5000) x3
H (0.0000, 0.3769, 0.5000) x9
O (0.0000, 0.6174, 0.5000) x9
O (0.0000, 0.8639, 0.5000) x9
O (0.0243, 0.2315, 0.2099) x18



Number 1: V 19.8 Å³ per atom. Number 2: V 14.0 Å³ per atom.